# 1
Density functional theory data (GGA-PBE) for a relaxed AcPrSm2P4 crystal.

a = 7.3088 Å, b = 4.2192 Å, c = 7.3095 Å
α = 90.00°, β = 109.40°, γ = 90.00°
With the nearest neighbours (Å) after each atom.
Positions (direct):
Ac 0.0000 0.0000 0.0000  6 P 3.05-3.06
Pr 0.5000 0.5000 0.0000  6 P 3.01
Sm 0.0000 0.5000 0.5000  6 P 2.96
Sm 0.5000 0.0000 0.5000  6 P 2.92
P 0.2519 0.0000 0.7406  3 Sm 2.92-2.96, 2 Pr 3.01, 1 Ac 3.05
P 0.2599 0.5000 0.2637  3 Sm 2.92-2.96, 1 Pr 3.01, 2 Ac 3.06
P 0.7401 0.5000 0.7363  3 Sm 2.92-2.96, 1 Pr 3.01, 2 Ac 3.06
P 0.7481 0.0000 0.2594  3 Sm 2.92-2.96, 2 Pr 3.01, 1 Ac 3.05

**SG**: No. 10
**Total magnetization**: 0.0000 μB per atom

# 2
Density functional theory data (GGA-PBE) for a relaxed LiCrIn crystal.

a = 4.5898 Å, b = 4.5898 Å, c = 4.5898 Å
α = 60.00°, β = 60.00°, γ = 60.00°
With the nearest neighbours (Å) after each atom.
Positions (direct):
Li 0.0000 0.0000 0.0000  4 In 2.81
Cr 0.5000 0.5000 0.5000  4 In 2.81
In 0.7500 0.7500 0.7500  4 Cr 2.81, 4 Li 2.81

**Relative energy among the computed polymorphs**: 30.96 kJ per mole of atoms
**SG**: No. 216
**Total magnetization**: 1.3195 μB per atom

# 3
Density functional theory data (GGA-PBE) for a relaxed InIr2 crystal.

a = 3.6836 Å, b = 3.6836 Å, c = 4.3345 Å
α = 90.00°, β = 90.00°, γ = 90.00°
With the nearest neighbours (Å) after each atom.
Positions (direct):
In 0.0000 0.0000 0.0000  8 Ir 2.84
Ir 0.0000 0.5000 0.5000  4 Ir 2.60, 4 In 2.84
Ir 0.5000 0.0000 0.5000  4 Ir 2.60, 4 In 2.84

**SG**: No. 123
**Total magnetization**: 0.1507 μB per atom

Number 1: formation enthalpy at 0 K -1.507 eV per atom, D(E_F) 0.10 states/eV/atom. Number 2: formation enthalpy at 0 K 0.531 eV per atom, D(E_F) 0.77 states/eV/atom. Number 3: formation enthalpy at 0 K 0.438 eV per atom, D(E_F) 1.62 states/eV/atom.